(1)
The following is a DFT calculation (GGA-PBE) of Ac6Ag3Ir2S after structural relaxation.

The structure in CIF format:
```
data_Ac6Ag3Ir2S
_chemical_formula_sum 'Ac12 Ag6 Ir4 S2'
_symmetry_space_group_name_H-M 'C 1 2/m 1'
_symmetry_Int_Tables_number 12
_symmetry_space_group_name_Hall '-C 2y'
_cell_length_a 7.706
_cell_length_b 13.312
_cell_length_c 7.990
_cell_angle_alpha 90.00
_cell_angle_beta 108.45
_cell_angle_gamma 90.00
loop_
_atom_site_label
_atom_site_type_symbol
_atom_site_fract_x
_atom_site_fract_y
_atom_site_fract_z
Ac1 Ac 0.224 0.000 0.212
Ac2 Ac 0.248 0.326 0.221
Ag1 Ag 0.000 0.000 0.500
Ag2 Ag 0.000 0.344 0.500
Ir1 Ir 0.000 0.167 0.000
S1 S 0.000 0.500 0.000
```

Calculated values
**DOS(E_F)**: 0.51 states/eV/atom
**Density**: 8979 kg/m3
**Uncorrected formation energy**: -0.6823 eV per atom
**Magnetization**: 0.00 μB per formula unit

(2)
The following is a DFT calculation (GGA-PBE) of LiTl2 after structural relaxation.

The structure in CIF format:
```
data_LiTl2
_chemical_formula_sum 'Li2 Tl4'
_symmetry_space_group_name_H-M 'I m m m'
_symmetry_Int_Tables_number 71
_symmetry_space_group_name_Hall '-I 2 2'
_cell_length_a 3.598
_cell_length_b 5.329
_cell_length_c 8.013
_cell_angle_alpha 90.00
_cell_angle_beta 90.00
_cell_angle_gamma 90.00
loop_
_atom_site_label
_atom_site_type_symbol
_atom_site_fract_x
_atom_site_fract_y
_atom_site_fract_z
Li1 Li 0.000 0.000 0.000
Tl1 Tl 0.000 0.500 0.195
```

Calculated values
**Formation energy**: -0.06 eV/atom
**ΔE to the lowest computed polymorph**: 7.3 kJ per mole of atoms
**DOS(E_F)**: 0.43 states/eV/atom
**Density**: 8985 kg/m3
**Magnetization**: 0.00 μB per formula unit

(3)
The following is a DFT calculation (GGA-PBE) of Pr4PuN4 after structural relaxation.

The structure in CIF format:
```
data_Pr4PuN4
_chemical_formula_sum 'Pr8 Pu2 N8'
_symmetry_space_group_name_H-M 'C 1 2/m 1'
_symmetry_Int_Tables_number 12
_symmetry_space_group_name_Hall '-C 2y'
_cell_length_a 12.155
_cell_length_b 3.631
_cell_length_c 9.038
_cell_angle_alpha 90.00
_cell_angle_beta 119.83
_cell_angle_gamma 90.00
loop_
_atom_site_label
_atom_site_type_symbol
_atom_site_fract_x
_atom_site_fract_y
_atom_site_fract_z
Pr1 Pr 0.107 0.000 0.384
Pr2 Pr 0.205 0.500 0.811
Pu1 Pu 0.000 0.500 0.000
N1 N 0.093 0.000 0.914
N2 N 0.194 0.500 0.294
```

Calculated values
**ΔE to the lowest computed polymorph**: 0.0 kJ per mole of atoms
**DOS(E_F)**: 1.02 states/eV/atom
**Density**: 8290 kg/m3
**Uncorrected formation energy**: -1.1207 eV per atom
**Magnetization**: 5.58 μB per formula unit

(4)
The following is a DFT calculation (GGA-PBE) of Cs6CrAs4 after structural relaxation.

The structure in CIF format:
```
data_Cs6CrAs4
_chemical_formula_sum 'Cs12 Cr2 As8'
_symmetry_space_group_name_H-M 'P 63 m c'
_symmetry_Int_Tables_number 186
_symmetry_space_group_name_Hall 'P 6c -2c'
_cell_length_a 10.9830
_cell_length_b 10.9830
_cell_length_c 8.9379
_cell_angle_alpha 90.00
_cell_angle_beta 90.00
_cell_angle_gamma 120.00
loop_
_atom_site_label
_atom_site_type_symbol
_atom_site_fract_x
_atom_site_fract_y
_atom_site_fract_z
Cs1 Cs 0.0695 0.5347 0.0000
Cs2 Cs 0.1468 0.2935 0.6816
Cr1 Cr 0.3333 0.6667 0.3951
As1 As 0.2169 0.4337 0.3126
As2 As 0.3333 0.6667 0.6554
```

Calculated values
**Formation energy**: -0.35 eV/atom
**DOS(E_F)**: 0.12 states/eV/atom
**Density**: 4087 kg/m3
**Magnetization**: 0.00 μB per formula unit

(5)
The following is a DFT calculation (GGA-PBE) of YZn4Br after structural relaxation.

The structure in CIF format:
```
data_YZn4Br
_chemical_formula_sum 'Y4 Zn16 Br4'
_symmetry_space_group_name_H-M 'F -4 3 m'
_symmetry_Int_Tables_number 216
_symmetry_space_group_name_Hall 'F -4 2 3'
_cell_length_a 7.871
_cell_length_b 7.871
_cell_length_c 7.871
_cell_angle_alpha 90.00
_cell_angle_beta 90.00
_cell_angle_gamma 90.00
loop_
_atom_site_label
_atom_site_type_symbol
_atom_site_fract_x
_atom_site_fract_y
_atom_site_fract_z
Y1 Y 0.000 0.000 0.000
Zn1 Zn 0.127 0.127 0.627
Br1 Br 0.250 0.250 0.250
```

Calculated values
**DOS(E_F)**: 0.55 states/eV/atom
**Density**: 5863 kg/m3
**Uncorrected formation energy**: -0.0941 eV per atom
**Magnetization**: 0.00 μB per formula unit

(6)
The following is a DFT calculation (GGA-PBE) of YAg2Os2 after structural relaxation.

The structure in CIF format:
```
data_YAg2Os2
_chemical_formula_sum 'Y2 Ag4 Os4'
_symmetry_space_group_name_H-M 'I 4/m m m'
_symmetry_Int_Tables_number 139
_symmetry_space_group_name_Hall '-I 4 2'
_cell_length_a 4.107
_cell_length_b 4.107
_cell_length_c 11.904
_cell_angle_alpha 90.00
_cell_angle_beta 90.00
_cell_angle_gamma 90.00
loop_
_atom_site_label
_atom_site_type_symbol
_atom_site_fract_x
_atom_site_fract_y
_atom_site_fract_z
Y1 Y 0.000 0.000 0.000
Ag1 Ag 0.000 0.500 0.250
Os1 Os 0.000 0.000 0.405
```

Calculated values
**Formation energy**: 0.42 eV/atom
**DOS(E_F)**: 0.89 states/eV/atom
**Density**: 11332 kg/m3
**Magnetization**: 0.89 μB per formula unit

(7)
The following is a DFT calculation (GGA-PBE) of YMgTl2 after structural relaxation.

The structure in CIF format:
```
data_YMgTl2
_chemical_formula_sum 'Y1 Mg1 Tl2'
_symmetry_space_group_name_H-M 'P m m 2'
_symmetry_Int_Tables_number 25
_symmetry_space_group_name_Hall 'P 2 -2'
_cell_length_a 3.566
_cell_length_b 4.711
_cell_length_c 6.482
_cell_angle_alpha 90.00
_cell_angle_beta 90.00
_cell_angle_gamma 90.00
loop_
_atom_site_label
_atom_site_type_symbol
_atom_site_fract_x
_atom_site_fract_y
_atom_site_fract_z
Y1 Y 0.000 0.000 0.000
Mg1 Mg 0.500 0.500 0.282
Tl1 Tl 0.000 0.000 0.494
Tl2 Tl 0.500 0.500 0.784
```

Calculated values
**Formation energy**: -0.12 eV/atom
**DOS(E_F)**: 0.79 states/eV/atom
**Density**: 7961 kg/m3
**Magnetization**: 0.00 μB per formula unit

(8)
The following is a DFT calculation (GGA-PBE) of BiBAu2Cl after structural relaxation.

The structure in CIF format:
```
data_BiBAu2Cl
_chemical_formula_sum 'Bi1 B1 Au2 Cl1'
_symmetry_space_group_name_H-M 'P 4/m m m'
_symmetry_Int_Tables_number 123
_symmetry_space_group_name_Hall '-P 4 2'
_cell_length_a 5.413
_cell_length_b 5.413
_cell_length_c 4.841
_cell_angle_alpha 90.00
_cell_angle_beta 90.00
_cell_angle_gamma 90.00
loop_
_atom_site_label
_atom_site_type_symbol
_atom_site_fract_x
_atom_site_fract_y
_atom_site_fract_z
Bi1 Bi 0.000 0.000 0.000
B1 B 0.000 0.000 0.500
Au1 Au 0.000 0.500 0.000
Cl1 Cl 0.500 0.500 0.500
```

Calculated values
**DOS(E_F)**: 0.11 states/eV/atom
**Density**: 7601 kg/m3
**Uncorrected formation energy**: 1.0614 eV per atom
**Magnetization**: 0.00 μB per formula unit